*one*
A relaxed BaCd6Hg12 crystal, computed with PBE.

Properties
Its total moment is 0.00 μB per formula unit.

abc: 13.2445 13.2445 10.2212
angles: 90.00 90.00 120.00
Space group R-3m (No. 166, hexagonal axes)
Unique sites:
Ba  0.0000  0.0000  0.0000 [3 per cell]
Cd  0.0542  0.5271  0.2340 [18 per cell]
Hg  0.0000  0.3893  0.5000 [18 per cell]
Hg  0.0818  0.1637  0.2988 [18 per cell]

*two*
A relaxed BaCd6Hg12 crystal, computed with PBE.

Properties
Its total moment is 0.00 μB per formula unit.

abc: 8.0583 8.1735 9.2677
angles: 114.34 98.74 108.18
Space group P-1 (No. 2)
Unique sites:
Ba  0.0000  0.0000  0.0000 [1 per cell]
Cd  0.0830  0.5029  0.7438 [2 per cell]
Cd  0.3082  0.2552  0.7901 [2 per cell]
Cd  0.4543  0.7790  0.4504 [2 per cell]
Hg  0.1266  0.9412  0.3675 [2 per cell]
Hg  0.1796  0.8142  0.6475 [2 per cell]
Hg  0.1981  0.4976  0.0816 [2 per cell]
Hg  0.2553  0.3862  0.4413 [2 per cell]
Hg  0.3941  0.9176  0.1314 [2 per cell]
Hg  0.4839  0.3282  0.1664 [2 per cell]

Energies relative to the most stable structure are *one* 28; *two* 0, reported in meV per atom.

*one*
A relaxed BaLi2CdHg crystal, computed with PBE.

Properties
Its total moment is 0.00 μB per formula unit.

abc: 5.2687 5.2687 5.4554
angles: 90.00 90.00 90.00
Space group P4/mmm (No. 123)
Unique sites:
Ba  0.0000  0.0000  0.0000 [1 per cell]
Li  0.0000  0.5000  0.5000 [2 per cell]
Cd  0.5000  0.5000  0.0000 [1 per cell]
Hg  0.5000  0.5000  0.5000 [1 per cell]

*two*
A relaxed BaLi2CdHg crystal, computed with PBE.

Properties
Its total moment is 0.00 μB per formula unit.

abc: 5.2828 5.2828 5.4756
angles: 90.00 90.00 90.00
Space group P4/mmm (No. 123)
Unique sites:
Ba  0.0000  0.0000  0.0000 [1 per cell]
Li  0.0000  0.5000  0.5000 [2 per cell]
Cd  0.5000  0.5000  0.5000 [1 per cell]
Hg  0.5000  0.5000  0.0000 [1 per cell]

Energies relative to the most stable structure are *one* 0; *two* 30, reported in meV per atom.